Entry from Alexandria: Ti3ZnAg after structural relaxation (PBE).

POSCAR file:
```
Ti3ZnAg
1.0
-1.251 3.370 -3.247
-3.704 1.341 2.819
2.860 3.211 2.231
Ag Ti Zn
1 3 1
Direct
0.000 0.000 0.000
0.000 0.000 0.500
0.000 0.500 0.000
0.500 0.000 0.000
0.500 0.500 0.500
```

## Properties
Polymorph energy (0 for the lowest one) in meV per atom: 293
Calculated density in g/cm3: 4.63
Energy relative to the elements in eV per atom: 1.109
Magnetic moment in μB per cell: 0.00
E in eV per atom: -4.4534